(1)
Entry from the Alexandria database: a relaxed BeAl2PPt crystal (PBE-GGA).

```
BeAl2PPt
1.0
4.433 0.000 0.000
0.000 3.911 0.000
0.000 0.000 4.433
Be Pt Al P
1 1 2 1
direct
0.000 0.000 0.000
0.500 0.500 0.500
0.500 0.000 0.000
0.000 0.000 0.500
0.000 0.500 0.000
```

Results
Space group: No. 123
Fermi-level density of states, states/eV per cell: 1.91
Uncorrected energy, eV per cell: -20.9
DFT formation energy, eV per atom: 0.36

=====

(2)
Entry from the Alexandria database: a relaxed BeAl2ReP crystal (PBE-GGA).

```
BeAl2ReP
1.0
-2.233 2.661 2.328
-2.920 -2.986 0.612
2.033 -1.287 3.420
Re Be P Al
1 1 1 2
direct
0.000 0.500 0.000
0.000 0.000 0.000
0.500 0.500 0.500
0.500 0.000 0.000
0.000 0.000 0.500
```

Results
Space group: No. 123
Fermi-level density of states, states/eV per cell: 2.91
Uncorrected energy, eV per cell: -25.8
DFT formation energy, eV per atom: 0.66

=====

(3)
Entry from the Alexandria database: a relaxed BeAl2PRu crystal (PBE-GGA).

```
BeAl2PRu
1.0
-1.059 3.308 -2.805
-3.513 -0.143 1.158
0.927 2.994 3.180
Ru Be Al P
1 1 2 1
direct
0.500 0.500 0.500
0.000 0.000 0.000
0.000 0.000 0.500
0.500 0.000 0.000
0.000 0.500 0.000
```

Results
Space group: No. 123
Fermi-level density of states, states/eV per cell: 3.69
Uncorrected energy, eV per cell: -22.6
DFT formation energy, eV per atom: 0.67

=====

(4)
Entry from the Alexandria database: a relaxed BeAlPS2 crystal (PBE-GGA).

```
BeAlPS2
1.0
4.537 0.000 0.000
0.000 4.537 0.000
0.000 0.000 3.979
Be S P Al
1 2 1 1
direct
0.000 0.000 0.000
0.000 0.500 0.000
0.500 0.000 0.000
0.000 0.000 0.500
0.500 0.500 0.500
```

Results
Space group: No. 123
Formation energy from raw total energies, eV per atom: 0.415
Fermi-level density of states, states/eV per cell: 3.23
Uncorrected energy, eV per cell: -19.1

=====

(5)
Entry from the Alexandria database: a relaxed BeAlPS2 crystal (PBE-GGA).

```
BeAlPS2
1.0
4.536 0.000 0.000
0.000 4.536 0.000
0.000 0.000 4.714
Al P S Be
1 1 2 1
direct
0.000 0.000 0.000
0.000 0.000 0.500
0.000 0.500 0.000
0.500 0.000 0.000
0.500 0.500 0.500
```

Results
Space group: No. 123
Formation energy from raw total energies, eV per atom: 0.716
Fermi-level density of states, states/eV per cell: 3.75
Uncorrected energy, eV per cell: -17.6

=====

(6)
Entry from the Alexandria database: a relaxed BeAlTe2P crystal (PBE-GGA).

```
BeAlTe2P
1.0
-3.149 1.584 3.525
-1.865 -4.018 0.139
3.245 -1.385 3.521
Te Be Al P
2 1 1 1
direct
0.500 0.000 0.000
0.000 0.000 0.500
0.000 0.000 0.000
0.000 0.500 0.000
0.500 0.500 0.500
```

Results
Space group: No. 123
Formation energy from raw total energies, eV per atom: 0.635
Fermi-level density of states, states/eV per cell: 3.31
Uncorrected energy, eV per cell: -16.0

=====

(7)
Entry from the Alexandria database: a relaxed TiBeAlP2 crystal (PBE-GGA).

```
TiBeAlP2
1.0
-2.558 -1.237 3.210
0.800 -4.080 -0.934
3.344 0.042 2.682
Be Ti Al P
1 1 1 2
direct
0.000 0.000 0.000
0.500 0.500 0.500
0.000 0.500 0.000
0.000 0.000 0.500
0.500 0.000 0.000
```

Results
Space group: No. 123
Fermi-level density of states, states/eV per cell: 5.91
Uncorrected energy, eV per cell: -23.6
DFT formation energy, eV per atom: 0.52

=====

(8)
Entry from the Alexandria database: a relaxed BeAlP2W crystal (PBE-GGA).

```
BeAlP2W
1.0
-0.421 -2.511 -3.570
3.086 -3.269 1.935
-3.377 -2.084 1.865
P W Be Al
2 1 1 1
direct
0.500 0.000 0.000
0.000 0.000 0.500
0.000 0.500 0.000
0.500 0.500 0.500
0.000 0.000 0.000
```

Results
Space group: No. 123
Fermi-level density of states, states/eV per cell: 4.23
Uncorrected energy, eV per cell: -22.9
DFT formation energy, eV per atom: 1.67

=====

(9)
Entry from the Alexandria database: a relaxed PaBeAl crystal (PBE-GGA).

```
PaBeAl
1.0
-1.627 4.296 0.333
-1.949 -3.383 2.443
3.740 1.070 4.465
Al Pa Be
2 2 2
direct
0.432 0.432 0.000
0.432 0.432 0.500
0.766 0.098 0.750
0.098 0.766 0.250
0.100 0.764 0.750
0.764 0.100 0.250
```

Results
Space group: No. 63
Fermi-level density of states, states/eV per cell: 6.41
Uncorrected energy, eV per cell: -33.4
DFT formation energy, eV per atom: 0.08

=====

(10)
Entry from the Alexandria database: a relaxed PaBeAl crystal (PBE-GGA).

```
PaBeAl
1.0
-0.310 1.800 -2.292
-2.764 -0.912 -0.342
-0.306 3.797 4.896
Pa Be Al
1 1 1
direct
0.010 0.010 0.021
0.684 0.684 0.369
0.305 0.305 0.611
```

Results
Space group: No. 107
Fermi-level density of states, states/eV per cell: 3.35
Uncorrected energy, eV per cell: -16.7
DFT formation energy, eV per atom: 0.08

=====

(11)
Entry from the Alexandria database: a relaxed Pa2Be16Al crystal (PBE-GGA).

```
Pa2Be16Al
1.0
-5.060 0.343 3.087
-3.108 -3.920 -3.199
0.915 -4.720 3.485
Be Al Pa
16 1 2
direct
0.104 0.104 0.104
0.338 0.842 0.338
0.285 0.717 0.001
0.160 0.657 0.657
0.338 0.338 0.842
0.492 0.003 0.003
0.003 0.003 0.492
0.717 0.001 0.285
0.657 0.160 0.657
0.003 0.492 0.003
0.842 0.338 0.338
0.657 0.657 0.160
0.001 0.285 0.717
0.285 0.001 0.717
0.717 0.285 0.001
0.001 0.717 0.285
0.903 0.903 0.903
0.655 0.655 0.655
0.342 0.342 0.342
```

Results
Space group: No. 160
Fermi-level density of states, states/eV per cell: 7.81
Uncorrected energy, eV per cell: -83.6
DFT formation energy, eV per atom: -0.07

=====

(12)
Entry from the Alexandria database: a relaxed PaBeAl2 crystal (PBE-GGA).

```
PaBeAl2
1.0
4.031 0.000 0.000
2.015 3.491 0.000
2.015 1.164 5.218
Be Al Pa
1 2 1
direct
0.500 0.500 0.500
0.209 0.209 0.373
0.791 0.791 0.627
0.000 0.000 0.000
```

Results
Space group: No. 166
Fermi-level density of states, states/eV per cell: 4.11
Uncorrected energy, eV per cell: -20.7
DFT formation energy, eV per atom: 0.01

=====

(13)
Entry from the Alexandria database: a relaxed PaBeAl crystal (PBE-GGA).

```
PaBeAl
1.0
-2.218 3.109 1.359
-2.888 -2.536 1.086
2.902 0.944 2.577
Pa Be Al
1 1 1
direct
0.666 0.667 0.333
0.167 0.333 0.667
0.166 0.000 0.000
```

Results
Space group: No. 187
Fermi-level density of states, states/eV per cell: 2.43
Uncorrected energy, eV per cell: -17.0
DFT formation energy, eV per atom: -0.02

=====

(14)
Entry from the Alexandria database: a relaxed PaBeAl3 crystal (PBE-GGA).

```
PaBeAl3
1.0
-0.716 -3.324 -2.205
3.926 -0.189 -0.991
2.530 -4.768 2.642
Pa Al Be
1 3 1
direct
0.403 0.207 0.898
0.803 0.606 0.100
0.141 0.445 0.423
0.642 0.945 0.422
0.019 0.822 0.669
```

Results
Space group: No. 107
Fermi-level density of states, states/eV per cell: 5.42
Uncorrected energy, eV per cell: -25.3
DFT formation energy, eV per atom: -0.17

=====

(15)
Entry from the Alexandria database: a relaxed PaBe4Al crystal (PBE-GGA).

```
PaBe4Al
1.0
4.839 0.000 0.000
2.420 4.191 0.000
2.420 1.397 3.951
Pa Be Al
1 4 1
direct
0.250 0.250 0.250
0.620 0.139 0.620
0.139 0.620 0.620
0.620 0.620 0.620
0.620 0.620 0.139
0.000 0.000 0.000
```

Results
Space group: No. 216
Fermi-level density of states, states/eV per cell: 4.90
Uncorrected energy, eV per cell: -26.3
DFT formation energy, eV per atom: 0.30

=====

(16)
Entry from the Alexandria database: a relaxed PaBeAl crystal (PBE-GGA).

```
PaBeAl
1.0
-2.760 -3.322 -0.426
-1.511 -2.032 3.525
-4.156 0.469 1.161
Al Be Pa
1 1 1
direct
0.000 0.000 0.000
0.250 0.250 0.250
0.500 0.500 0.500
```

Results
Space group: No. 216
Fermi-level density of states, states/eV per cell: 3.23
Uncorrected energy, eV per cell: -16.6
DFT formation energy, eV per atom: 0.13

=====

(17)
Entry from the Alexandria database: a relaxed PaBeAlPt2 crystal (PBE-GGA).

```
PaBeAlPt2
1.0
-0.714 -1.047 3.710
-0.274 -3.750 -1.111
6.082 1.728 -0.414
Pa Be Pt Al
1 1 2 1
direct
0.000 0.000 0.000
0.250 0.750 0.500
0.618 0.618 0.236
0.382 0.382 0.764
0.750 0.250 0.500
```

Results
Space group: No. 119
Fermi-level density of states, states/eV per cell: 4.38
Uncorrected energy, eV per cell: -33.0
DFT formation energy, eV per atom: -0.78

=====

(18)
Entry from the Alexandria database: a relaxed Pa2Be4AlSi3 crystal (PBE-GGA).

```
Pa2Be4AlSi3
1.0
3.874 0.000 0.000
0.000 3.874 0.000
0.000 0.000 9.711
Pa Be Si Al
2 4 3 1
direct
0.000 0.500 0.755
0.500 0.000 0.245
0.500 0.000 0.638
0.000 0.500 0.362
0.000 0.000 0.000
0.500 0.500 0.000
0.000 0.500 0.128
0.000 0.000 0.500
0.500 0.000 0.872
0.500 0.500 0.500
```

Results
Space group: No. 115
Formation energy from raw total energies, eV per atom: -0.288
Fermi-level density of states, states/eV per cell: 7.25
Uncorrected energy, eV per cell: -56.8

=====

(19)
Entry from the Alexandria database: a relaxed BeAl2Pb crystal (PBE-GGA).

```
BeAl2Pb
1.0
-2.346 -2.541 -4.424
-1.617 -5.283 1.003
-0.629 5.441 1.238
Al Pb Be
2 1 1
direct
0.722 0.222 0.500
0.980 0.980 0.000
0.275 0.775 0.500
0.523 0.523 0.000
```

Results
Space group: No. 44
Fermi-level density of states, states/eV per cell: 1.79
Uncorrected energy, eV per cell: -12.8
DFT formation energy, eV per atom: 0.52

=====

(20)
Entry from the Alexandria database: a relaxed BeAl2Pb2 crystal (PBE-GGA).

```
BeAl2Pb2
1.0
6.525 0.000 0.000
0.000 6.525 0.000
0.000 0.000 5.244
Pb Al Be
4 4 2
direct
0.820 0.320 0.500
0.320 0.180 0.500
0.680 0.820 0.500
0.180 0.680 0.500
0.853 0.647 0.000
0.647 0.147 0.000
0.147 0.353 0.000
0.353 0.853 0.000
0.500 0.500 0.000
0.000 0.000 0.000
```

Results
Space group: No. 127
Fermi-level density of states, states/eV per cell: 5.11
Uncorrected energy, eV per cell: -33.5
DFT formation energy, eV per atom: 0.37

=====

(21)
Entry from the Alexandria database: a relaxed BeAl4Pb crystal (PBE-GGA).

```
BeAl4Pb
1.0
0.700 -4.455 3.104
-4.162 -3.468 0.789
0.095 -4.961 -2.314
Al Be Pb
4 1 1
direct
0.376 0.376 0.376
0.376 0.873 0.376
0.873 0.376 0.376
0.376 0.376 0.873
0.750 0.750 0.750
0.000 0.000 0.000
```

Results
Space group: No. 216
Fermi-level density of states, states/eV per cell: 3.43
Uncorrected energy, eV per cell: -19.7
DFT formation energy, eV per atom: 0.45

=====

(22)
Entry from the Alexandria database: a relaxed Be2AlPb crystal (PBE-GGA).

```
Be2AlPb
1.0
2.980 0.000 0.000
0.000 3.618 0.000
0.000 0.000 6.332
Al Be Pb
1 2 1
direct
0.500 0.500 0.750
0.000 0.000 0.580
0.000 0.000 0.920
0.500 0.500 0.250
```

Results
Space group: No. 47
Fermi-level density of states, states/eV per cell: 1.73
Uncorrected energy, eV per cell: -12.7
DFT formation energy, eV per atom: 0.54

=====

(23)
Entry from the Alexandria database: a relaxed BeAl2Pb crystal (PBE-GGA).

```
BeAl2Pb
1.0
3.024 0.060 0.000
-0.196 3.018 0.000
0.000 0.000 8.289
Be Al Pb
1 2 1
direct
0.500 0.500 0.250
0.000 0.000 0.075
0.000 0.000 0.425
0.500 0.500 0.750
```

Results
Space group: No. 65
Fermi-level density of states, states/eV per cell: 1.34
Uncorrected energy, eV per cell: -13.5
DFT formation energy, eV per atom: 0.34

=====

(24)
Entry from the Alexandria database: a relaxed Be2AlPb crystal (PBE-GGA).

```
Be2AlPb
1.0
4.787 -0.015 -0.043
1.011 4.679 0.043
-2.630 -2.667 2.982
Pb Al Be
1 1 2
direct
0.750 0.250 0.500
0.250 0.750 0.500
0.489 0.489 0.000
0.011 0.011 0.000
```

Results
Space group: No. 71
Fermi-level density of states, states/eV per cell: 1.14
Uncorrected energy, eV per cell: -12.1
DFT formation energy, eV per atom: 0.70

=====

(25)
Entry from the Alexandria database: a relaxed BeAlPb crystal (PBE-GGA).

```
BeAlPb
1.0
-3.861 1.614 -0.142
1.643 -1.799 -3.405
-1.536 -3.574 1.147
Be Al Pb
1 1 1
direct
0.667 0.333 0.168
0.000 0.000 0.166
0.333 0.667 0.666
```

Results
Space group: No. 156
Fermi-level density of states, states/eV per cell: 1.28
Uncorrected energy, eV per cell: -9.8
DFT formation energy, eV per atom: 0.45

=====

(26)
Entry from the Alexandria database: a relaxed BeAl2Pb crystal (PBE-GGA).

```
BeAl2Pb
1.0
-3.403 0.262 -2.027
-0.665 -3.865 0.615
-2.348 1.053 4.078
Be Al Pb
1 2 1
direct
0.500 0.000 0.500
0.500 0.500 0.000
0.000 0.000 0.000
0.000 0.500 0.500
```

Results
Space group: No. 123
Fermi-level density of states, states/eV per cell: 1.67
Uncorrected energy, eV per cell: -12.9
DFT formation energy, eV per atom: 0.51

=====

(27)
Entry from the Alexandria database: a relaxed BeAl2Pb crystal (PBE-GGA).

```
BeAl2Pb
1.0
4.096 0.000 0.000
0.000 4.575 -0.077
0.000 1.568 4.300
Pb Be Al
1 1 2
direct
0.500 0.750 0.750
0.500 0.250 0.250
0.000 0.073 0.073
0.000 0.427 0.427
```

Results
Space group: No. 65
Fermi-level density of states, states/eV per cell: 1.46
Uncorrected energy, eV per cell: -13.4
DFT formation energy, eV per atom: 0.38

=====

(28)
Entry from the Alexandria database: a relaxed Be2AlPb crystal (PBE-GGA).

```
Be2AlPb
1.0
3.875 0.000 0.000
0.000 3.832 -0.023
0.000 1.830 4.411
Be Pb Al
2 1 1
direct
0.500 0.074 0.232
0.000 0.181 0.996
0.000 0.482 0.419
0.500 0.764 0.854
```

Results
Space group: No. 6
Fermi-level density of states, states/eV per cell: 1.01
Uncorrected energy, eV per cell: -13.2
DFT formation energy, eV per atom: 0.43